This record from Alexandria via LeMat-Bulk describes a geometry-optimized Zr2MoHRu structure. The functional is GGA-PBE.

abc: 4.6632 4.6632 3.4770
angles: 90.00 90.00 90.00
Closest atoms and distances in Å follow each position.
Fractional positions:
1 Ru 0.5000 0.5000 0.5000  8 Zr 2.91
2 Mo 0.0000 0.0000 0.5000  2 H 1.74
3 Zr 0.0000 0.5000 0.0000  2 H 2.33
4 Zr 0.5000 0.0000 0.0000  2 H 2.33
5 H 0.0000 0.0000 0.0000  2 Mo 1.74

Summary:
Energy above the most stable polymorph in this dataset: 0 meV per atom
Crystal system: tetragonal
Fermi-level density of states: 4.26 states/eV per cell
Symmetry: P4/mmm (123)

This record from Alexandria via LeMat-Bulk describes a geometry-optimized CaHfIrPt structure. The functional is GGA-PBE.

abc: 4.7366 4.7366 4.7366
angles: 60.00 60.00 60.00
Closest atoms and distances in Å follow each position.
Fractional positions:
1 Hf 0.0000 0.0000 0.0000  4 Ir 2.90, 4 Pt 2.90
2 Ir 0.2500 0.2500 0.2500  4 Ca 2.90, 4 Hf 2.90
3 Ca 0.5000 0.5000 0.5000  4 Pt 2.90, 4 Ir 2.90
4 Pt 0.7500 0.7500 0.7500  4 Ca 2.90, 4 Hf 2.90

Summary:
Crystal system: cubic
Calculated formation energy: -722 meV/atom
Fermi-level density of states: 1.83 states/eV per cell
Symmetry: F-43m (216)

This record from Alexandria via LeMat-Bulk describes a geometry-optimized Ac4ZnHg structure. The functional is GGA-PBE.

abc: 5.5025 5.5030 7.7986
angles: 89.98 89.99 90.00
Closest atoms and distances in Å follow each position.
Fractional positions:
1 Ac 0.0012 0.4972 0.2554  2 Zn 3.34, 2 Hg 3.40-3.41
2 Ac 0.5014 0.9975 0.7409  2 Zn 3.34, 2 Hg 3.40-3.41
3 Ac 0.5012 0.9969 0.2553  2 Zn 3.34, 2 Hg 3.40-3.41
4 Ac 0.0015 0.4974 0.7409  2 Zn 3.34, 2 Hg 3.40-3.41
5 Zn 0.0012 0.9975 0.4982  8 Ac 3.34
6 Hg 0.5013 0.4972 0.9981  8 Ac 3.40-3.41

Summary:
Energy above the most stable polymorph in this dataset: 180 meV per atom
Crystal system: tetragonal
Calculated formation energy: -53 meV/atom
Fermi-level density of states: 8.34 states/eV per cell
Symmetry: P4/mmm (123)

This record from Alexandria via LeMat-Bulk describes a geometry-optimized PaPtRh3 structure. The functional is GGA-PBE.

abc: 4.5253 5.8827 6.5371
angles: 90.00 90.00 90.00
Closest atoms and distances in Å follow each position.
Fractional positions:
1 Pa 0.5000 0.5000 0.4730  3 Rh 2.45-2.56
2 Pa 0.0000 0.0000 0.5270  3 Rh 2.45-2.56
3 Rh 0.5000 0.5000 0.0985  1 Pa 2.45, 2 Rh 2.67
4 Rh 0.5000 0.2236 0.7744  1 Pa 2.56, 4 Rh 2.63-2.75, 2 Pt 2.79
5 Rh 0.5000 0.7764 0.7744  1 Pa 2.56, 4 Rh 2.63-2.75, 2 Pt 2.79
6 Rh 0.0000 0.7236 0.2256  1 Pa 2.56, 4 Rh 2.63-2.75, 2 Pt 2.79
7 Rh 0.0000 0.0000 0.9015  1 Pa 2.45, 2 Rh 2.67
8 Rh 0.0000 0.2764 0.2256  1 Pa 2.56, 4 Rh 2.63-2.75, 2 Pt 2.79
9 Pt 0.0000 0.5000 0.7956  10 Rh 2.79-3.10, 2 Pa 3.09
10 Pt 0.5000 0.0000 0.2044  10 Rh 2.79-3.10, 2 Pa 3.09

Summary:
Energy above the most stable polymorph in this dataset: 58 meV per atom
Crystal system: orthorhombic
Calculated formation energy: -574 meV/atom
Fermi-level density of states: 7.84 states/eV per cell
Symmetry: Pmmn (59)

This record from Alexandria via LeMat-Bulk describes a geometry-optimized LiB2C2 structure. The functional is GGA-PBE.

abc: 2.7249 2.7249 19.7879
angles: 90.00 90.00 120.00
Closest atoms and distances in Å follow each position.
Fractional positions:
1 C 0.6667 0.3333 0.5786  3 B 1.57
2 C 0.6667 0.3333 0.2479  3 B 1.57
3 C 0.3333 0.6667 0.7571  3 B 1.57
4 C 0.3333 0.6667 0.0558  3 B 1.57
5 C 0.3333 0.6667 0.4221  3 B 1.57
6 C 0.6667 0.3333 0.9341  3 B 1.58
7 Li 0.0000 0.0000 0.6649  6 C 2.32-2.41, 6 B 2.38-2.40
8 Li 0.0000 0.0000 0.8448  6 C 2.34-2.36, 6 B 2.35-2.42
9 Li 0.0000 0.0000 0.3339  6 C 2.32-2.35, 6 B 2.36-2.39
10 B 0.3333 0.6667 0.2450  3 C 1.57
11 B 0.6667 0.3333 0.0548  3 C 1.57
12 B 0.6667 0.3333 0.4250  3 C 1.57
13 B 0.3333 0.6667 0.9379  3 C 1.58
14 B 0.3333 0.6667 0.5750  3 C 1.57
15 B 0.6667 0.3333 0.7567  3 C 1.57

Summary:
Energy above the most stable polymorph in this dataset: 74 meV per atom
Crystal system: trigonal
Calculated formation energy: 4 meV/atom
Fermi-level density of states: 3.09 states/eV per cell
Symmetry: P3m1 (156)

This record from Alexandria via LeMat-Bulk describes a geometry-optimized CsSmBeTe3 structure. The functional is GGA-PBE.

abc: 5.2955 8.8916 9.9901
angles: 102.28 90.00 107.32
Closest atoms and distances in Å follow each position.
Fractional positions:
1 Te 0.5051 0.0101 0.3013  2 Be 2.65
2 Te 0.1631 0.3262 0.3559  1 Be 2.54
3 Te 0.1398 0.2796 0.7511  1 Be 2.48
4 Te 0.4949 0.9899 0.6987  2 Be 2.65
5 Te 0.8369 0.6738 0.6441  1 Be 2.54
6 Te 0.8602 0.7204 0.2489  1 Be 2.48
7 Sm 0.6460 0.2920 0.5605  7 Te 3.11-3.40
8 Sm 0.3540 0.7080 0.4395  7 Te 3.11-3.40
9 Cs 0.3556 0.7113 0.9461  7 Te 3.75-4.01
10 Cs 0.6444 0.2887 0.0539  7 Te 3.75-4.01
11 Be 0.9902 0.9803 0.6990  4 Te 2.48-2.65
12 Be 0.0098 0.0197 0.3010  4 Te 2.48-2.65

Summary:
ΔE_f (raw): -0.783 eV/atom
Crystal system: monoclinic
Symmetry: C2/m (12)

This record from Alexandria via LeMat-Bulk describes a geometry-optimized CsKRb2 structure. The functional is GGA-PBE.

abc: 8.0021 8.0021 8.0021
angles: 60.00 60.00 60.00
Closest atoms and distances in Å follow each position.
Fractional positions:
1 K 0.0000 0.0000 0.0000  8 Rb 4.90
2 Cs 0.5000 0.5000 0.5000  8 Rb 4.90
3 Rb 0.7500 0.7500 0.7500  4 K 4.90, 4 Cs 4.90
4 Rb 0.2500 0.2500 0.2500  4 Cs 4.90, 4 K 4.90

Summary:
Energy above the most stable polymorph in this dataset: 2 meV per atom
Crystal system: cubic
Calculated formation energy: 6 meV/atom
Fermi-level density of states: 4.19 states/eV per cell
Symmetry: Fm-3m (225)

This record from Alexandria via LeMat-Bulk describes a geometry-optimized CaZr2Te4 structure. The functional is GGA-PBE.

abc: 4.1972 7.0840 14.7263
angles: 90.00 90.00 107.23
Closest atoms and distances in Å follow each position.
Fractional positions:
1 Zr 0.8721 0.7443 0.5629  6 Te 2.87-2.99
2 Zr 0.1279 0.2557 0.4371  6 Te 2.87-2.99
3 Zr 0.1279 0.2557 0.0629  6 Te 2.87-2.99
4 Zr 0.8721 0.7443 0.9371  6 Te 2.87-2.99
5 Te 0.7737 0.5474 0.3835  3 Zr 2.96-2.99, 2 Ca 3.22
6 Te 0.9470 0.8940 0.7500  2 Zr 2.94, 2 Ca 3.14
7 Te 0.5000 0.0000 0.0000  4 Zr 2.87
8 Te 0.2263 0.4526 0.6165  3 Zr 2.96-2.99, 2 Ca 3.22
9 Te 0.0530 0.1060 0.2500  2 Zr 2.94, 2 Ca 3.14
10 Te 0.7737 0.5474 0.1165  3 Zr 2.96-2.99, 2 Ca 3.22
11 Te 0.2263 0.4526 0.8835  3 Zr 2.96-2.99, 2 Ca 3.22
12 Te 0.5000 0.0000 0.5000  4 Zr 2.87
13 Ca 0.6200 0.2399 0.7500  6 Te 3.14-3.22
14 Ca 0.3800 0.7601 0.2500  6 Te 3.14-3.22

Summary:
ΔE_f (raw): -0.969 eV/atom
Crystal system: orthorhombic
Fermi-level density of states: 7.23 states/eV per cell
Symmetry: Cmcm (63)

This record from Alexandria via LeMat-Bulk describes a geometry-optimized TaCd2P structure. The functional is GGA-PBE.

abc: 9.6692 9.6692 9.6692
angles: 18.16 18.16 18.16
Closest atoms and distances in Å follow each position.
Fractional positions:
1 Cd 0.5028 0.5028 0.5028  3 P 2.90, 3 Ta 3.02, 6 Cd 3.05
2 Cd 0.9972 0.9972 0.9972  3 P 2.90, 3 Ta 3.02, 6 Cd 3.05
3 Ta 0.7500 0.7500 0.7500  6 Cd 3.02, 6 Ta 3.05
4 P 0.2500 0.2500 0.2500  6 Cd 2.90, 6 P 3.05

Summary:
Crystal system: trigonal
Calculated formation energy: 427 meV/atom
Fermi-level density of states: 2.52 states/eV per cell
Symmetry: R-3m (166)

This record from Alexandria via LeMat-Bulk describes a geometry-optimized Cs3Pd2PbBr9 structure. The functional is GGA-PBE.

abc: 7.7910 7.7910 9.5913
angles: 90.00 90.00 120.00
Closest atoms and distances in Å follow each position.
Fractional positions:
1 Br 0.5000 0.0000 0.0000  2 Pd 2.67
2 Br 0.1755 0.3510 0.3173  1 Pd 2.66, 1 Pb 2.95
3 Br 0.1755 0.8245 0.3173  1 Pd 2.66, 1 Pb 2.95
4 Br 0.6490 0.8245 0.3173  1 Pd 2.66, 1 Pb 2.95
5 Br 0.8245 0.6490 0.6827  1 Pd 2.66, 1 Pb 2.95
6 Br 0.3510 0.1755 0.6827  1 Pd 2.66, 1 Pb 2.95
7 Br 0.0000 0.5000 0.0000  2 Pd 2.67
8 Br 0.5000 0.5000 0.0000  2 Pd 2.67
9 Br 0.8245 0.1755 0.6827  1 Pd 2.66, 1 Pb 2.95
10 Pb 0.0000 0.0000 0.5000  6 Br 2.95
11 Pd 0.6667 0.3333 0.8496  6 Br 2.66-2.67
12 Pd 0.3333 0.6667 0.1504  6 Br 2.66-2.67
13 Cs 0.3333 0.6667 0.6727  12 Br 3.86-4.02
14 Cs 0.6667 0.3333 0.3273  12 Br 3.86-4.02
15 Cs 0.0000 0.0000 0.0000  12 Br 3.86-3.90

Summary:
ΔE_f (raw): -1.021 eV/atom
Crystal system: trigonal
Fermi-level density of states: 1.93 states/eV per cell
Symmetry: P-3m1 (164)

This record from Alexandria via LeMat-Bulk describes a geometry-optimized ZrGa2Pd structure. The functional is GGA-PBE.

abc: 7.2264 7.2264 5.8485
angles: 51.84 51.84 90.00
Closest atoms and distances in Å follow each position.
Fractional positions:
1 Ga 0.0945 0.6250 0.2500  2 Pd 2.51, 2 Zr 2.81
2 Ga 0.8750 0.9055 0.7500  2 Pd 2.51, 2 Zr 2.81
3 Ga 0.3750 0.3445 0.7500  2 Pd 2.51, 2 Zr 2.81
4 Ga 0.6555 0.1250 0.2500  2 Pd 2.51, 2 Zr 2.81
5 Pd 0.0000 0.0000 0.0000  4 Ga 2.51
6 Pd 0.7500 0.2500 0.5000  4 Ga 2.51
7 Zr 0.5000 0.5000 0.0000  4 Ga 2.81, 2 Pd 2.85
8 Zr 0.2500 0.7500 0.5000  4 Ga 2.81, 2 Pd 2.85

Summary:
Crystal system: tetragonal
Calculated formation energy: -407 meV/atom
Fermi-level density of states: 2.91 states/eV per cell
Symmetry: I-42d (122)

This record from Alexandria via LeMat-Bulk describes a geometry-optimized Li2Nd3O6 structure. The functional is GGA-PBE.

abc: 3.7861 3.7861 9.9272
angles: 100.99 100.99 90.00
Closest atoms and distances in Å follow each position.
Fractional positions:
1 O 0.4169 0.9169 0.8337  2 Li 1.93
2 O 0.2959 0.2959 0.5918  1 Li 1.96
3 O 0.7041 0.7041 0.4082  1 Li 1.96
4 O 0.9169 0.4169 0.8337  2 Li 1.93
5 O 0.5831 0.0831 0.1663  2 Li 1.93
6 O 0.0831 0.5831 0.1663  2 Li 1.93
7 Nd 0.1747 0.1747 0.3494  5 O 2.32-2.58
8 Nd 0.0000 0.0000 0.0000  8 O 2.47
9 Nd 0.8253 0.8253 0.6506  5 O 2.32-2.58
10 Li 0.3983 0.3983 0.7966  5 O 1.93-1.96
11 Li 0.6017 0.6017 0.2034  5 O 1.93-1.96

Summary:
ΔE_f (raw): -2.692 eV/atom
Crystal system: tetragonal
Fermi-level density of states: 4.16 states/eV per cell
Symmetry: I4/mmm (139)